(A)
This record from Alexandria via LeMat-Bulk describes a geometry-optimized GaSn3F structure. The functional is PBE.

Cell lengths 5.0055, 5.0055, 5.0055 Å; angles 90.00, 90.00, 90.00 degrees
Closest atoms and distances in Å follow each position.
Space group Pm-3m (No. 221)
One atom of each set of equivalent atoms:
Ga 0.0000 0.0000 0.0000 x1  12 Sn 3.54
Sn 0.0000 0.5000 0.5000 x3  2 F 2.50
F 0.5000 0.5000 0.5000 x1  6 Sn 2.50

(B)
This record from Alexandria via LeMat-Bulk describes a geometry-optimized GaSn3F structure. The functional is PBE.

Cell lengths 5.3562, 5.3562, 5.3562 Å; angles 90.00, 90.00, 90.00 degrees
Closest atoms and distances in Å follow each position.
Space group Pm-3m (No. 221)
One atom of each set of equivalent atoms:
Ga 0.0000 0.0000 0.0000 x1  6 Sn 2.68
Sn 0.0000 0.0000 0.5000 x3  2 Ga 2.68
F 0.5000 0.5000 0.5000 x1  12 Sn 3.79

The most stable arrangement is (A), and the next structure is 38.2 kJ/mol of atoms less stable.

(A)
This record from Alexandria via LeMat-Bulk describes a geometry-optimized GaSnF2 structure. The functional is PBE.

Cell lengths 3.3831, 3.3831, 23.4974 Å; angles 90.00, 90.00, 120.00 degrees
Closest atoms and distances in Å follow each position.
Space group R-3m (No. 166, hexagonal axes)
One atom of each set of equivalent atoms:
Ga 0.0000 0.0000 0.0000 x3  6 F 2.57
Sn 0.0000 0.0000 0.5000 x3  2 F 2.25
F 0.0000 0.0000 0.4043 x6  1 Sn 2.25

(B)
This record from Alexandria via LeMat-Bulk describes a geometry-optimized GaSnF2 structure. The functional is PBE.

Cell lengths 6.4591, 6.4591, 6.4591 Å; angles 90.00, 90.00, 90.00 degrees
Closest atoms and distances in Å follow each position.
Space group Fm-3m (No. 225)
One atom of each set of equivalent atoms:
Ga 0.0000 0.0000 0.0000 x4  8 F 2.80
Sn 0.0000 0.0000 0.5000 x4  8 F 2.80
F 0.2500 0.2500 0.2500 x8  4 Ga 2.80, 4 Sn 2.80

(C)
This record from Alexandria via LeMat-Bulk describes a geometry-optimized GaSnF2 structure. The functional is PBE.

Cell lengths 3.1319, 3.1319, 24.3498 Å; angles 90.00, 90.00, 120.00 degrees
Closest atoms and distances in Å follow each position.
Space group R-3m (No. 166, hexagonal axes)
One atom of each set of equivalent atoms:
Ga 0.0000 0.0000 0.0000 x3  2 F 2.11
Sn 0.0000 0.0000 0.5000 x3  6 F 2.66
F 0.0000 0.0000 0.0868 x6  1 Ga 2.11

The most stable arrangement is (A), and the next structure is 8.8 kJ/mol of atoms less stable.

(A)
This record from Alexandria via LeMat-Bulk describes a geometry-optimized SrGaF5 structure. The functional is PBE.

Cell lengths 9.3158, 6.7355, 7.9157 Å; angles 90.00, 114.60, 90.00 degrees
Closest atoms and distances in Å follow each position.
Space group C2/c (No. 15)
One atom of each set of equivalent atoms:
Sr 0.0000 0.0460 0.2500 x4  7 F 2.39-2.62
Ga 0.0000 0.5000 0.0000 x4  6 F 1.85-2.03
F 0.0000 0.4352 0.2500 x4  2 Ga 2.03
F 0.0122 0.2165 0.9734 x8  1 Ga 1.93
F 0.2183 0.4812 0.6096 x8  1 Ga 1.85

(B)
This record from Alexandria via LeMat-Bulk describes a geometry-optimized SrGaF5 structure. The functional is PBE.

Cell lengths 14.6644, 14.6644, 7.4512 Å; angles 90.00, 90.00, 90.00 degrees
Closest atoms and distances in Å follow each position.
Space group I4 (No. 79)
One atom of each set of equivalent atoms:
Sr 0.0490 0.2259 0.0000 x8  6 F 2.39-2.66
Sr 0.0688 0.7528 0.4997 x8  7 F 2.54-2.81
Ga 0.0000 0.0000 0.2492 x2  6 F 1.85-1.91
Ga 0.0000 0.0000 0.7448 x2  6 F 1.85-1.91
Ga 0.0000 0.5000 0.0015 x4  6 F 1.86-1.91
Ga 0.1684 0.3154 0.5004 x8  6 F 1.91-1.99
F 0.0000 0.0000 0.4970 x2  2 Ga 1.85
F 0.0000 0.0000 0.9968 x2  2 Ga 1.88
F 0.0000 0.5000 0.2515 x4  2 Ga 1.86
F 0.0347 0.8749 0.7538 x8  1 Ga 1.91
F 0.0359 0.8752 0.2399 x8  1 Ga 1.91
F 0.0488 0.3792 0.5013 x8  2 Ga 1.91-1.99
F 0.0663 0.3879 0.0013 x8  1 Ga 1.91
F 0.0985 0.7104 0.1750 x8  1 Ga 1.92
F 0.0986 0.7106 0.8258 x8  1 Ga 1.92
F 0.1067 0.2410 0.3257 x8  1 Ga 1.92
F 0.1078 0.2411 0.6763 x8  1 Ga 1.92
F 0.2251 0.2592 0.0002 x8  1 Ga 1.91

The most stable arrangement is (A), and the next structure is 2.0 kJ/mol of atoms less stable.

(A)
This record from Alexandria via LeMat-Bulk describes a geometry-optimized SrGa3F structure. The functional is PBE.

Cell lengths 4.8608, 4.8608, 4.8608 Å; angles 90.00, 90.00, 90.00 degrees
Closest atoms and distances in Å follow each position.
Space group Pm-3m (No. 221)
One atom of each set of equivalent atoms:
Sr 0.0000 0.0000 0.0000 x1  12 Ga 3.44
Ga 0.0000 0.5000 0.5000 x3  2 F 2.43
F 0.5000 0.5000 0.5000 x1  6 Ga 2.43

(B)
This record from Alexandria via LeMat-Bulk describes a geometry-optimized SrGa3F structure. The functional is PBE.

Cell lengths 6.1694, 6.1694, 6.1694 Å; angles 90.00, 90.00, 90.00 degrees
Closest atoms and distances in Å follow each position.
Space group Pm-3m (No. 221)
One atom of each set of equivalent atoms:
Sr 0.0000 0.0000 0.0000 x1  6 Ga 3.08
Ga 0.0000 0.0000 0.5000 x3  2 Sr 3.08
F 0.5000 0.5000 0.5000 x1  12 Ga 4.36

The most stable arrangement is (A), and the next structure is 114.3 kJ/mol of atoms less stable.

(A)
This record from Alexandria via LeMat-Bulk describes a geometry-optimized TaGaF2 structure. The functional is PBE.

Cell lengths 7.1583, 7.1583, 5.4232 Å; angles 90.00, 90.00, 90.00 degrees
Closest atoms and distances in Å follow each position.
Space group I-42d (No. 122)
One atom of each set of equivalent atoms:
Ta 0.0000 0.0000 0.0000 x4  4 F 2.11
Ga 0.0000 0.0000 0.5000 x4  2 Ta 2.71, 4 F 2.85
F 0.1226 0.2500 0.1250 x8  2 Ta 2.11

(B)
This record from Alexandria via LeMat-Bulk describes a geometry-optimized TaGaF2 structure. The functional is PBE.

Cell lengths 5.9685, 5.9685, 5.9685 Å; angles 90.00, 90.00, 90.00 degrees
Closest atoms and distances in Å follow each position.
Space group Fm-3m (No. 225)
One atom of each set of equivalent atoms:
Ta 0.0000 0.0000 0.0000 x4  8 F 2.58
Ga 0.0000 0.0000 0.5000 x4  8 F 2.58
F 0.2500 0.2500 0.2500 x8  4 Ta 2.58, 4 Ga 2.58

(C)
This record from Alexandria via LeMat-Bulk describes a geometry-optimized TaGaF2 structure. The functional is PBE.

Cell lengths 3.0720, 3.0720, 26.4056 Å; angles 90.00, 90.00, 120.00 degrees
Closest atoms and distances in Å follow each position.
Space group R-3m (No. 166, hexagonal axes)
One atom of each set of equivalent atoms:
Ta 0.0000 0.0000 0.0000 x3  2 F 1.92
Ga 0.0000 0.0000 0.5000 x3  6 F 3.05, 6 Ga 3.07
F 0.0000 0.0000 0.0727 x6  1 Ta 1.92

The most stable arrangement is (C), and the next structure is 42.0 kJ/mol of atoms less stable.

(A)
This record from Alexandria via LeMat-Bulk describes a geometry-optimized TaGa3F structure. The functional is PBE.

Cell lengths 4.3290, 4.3290, 4.3290 Å; angles 90.00, 90.00, 90.00 degrees
Closest atoms and distances in Å follow each position.
Space group Pm-3m (No. 221)
One atom of each set of equivalent atoms:
Ta 0.0000 0.0000 0.0000 x1  12 Ga 3.06
Ga 0.0000 0.5000 0.5000 x3  2 F 2.16
F 0.5000 0.5000 0.5000 x1  6 Ga 2.16

(B)
This record from Alexandria via LeMat-Bulk describes a geometry-optimized TaGa3F structure. The functional is PBE.

Cell lengths 5.1466, 5.1466, 5.1466 Å; angles 90.00, 90.00, 90.00 degrees
Closest atoms and distances in Å follow each position.
Space group Pm-3m (No. 221)
One atom of each set of equivalent atoms:
Ta 0.0000 0.0000 0.0000 x1  6 Ga 2.57
Ga 0.0000 0.0000 0.5000 x3  2 Ta 2.57
F 0.5000 0.5000 0.5000 x1  12 Ga 3.64

The most stable arrangement is (A), and the next structure is 52.6 kJ/mol of atoms less stable.

(A)
This record from Alexandria via LeMat-Bulk describes a geometry-optimized TaGa2F structure. The functional is PBE.

Cell lengths 6.4241, 6.4241, 6.4241 Å; angles 90.00, 90.00, 90.00 degrees
Closest atoms and distances in Å follow each position.
Space group Fm-3m (No. 225)
One atom of each set of equivalent atoms:
Ta 0.0000 0.0000 0.0000 x4  8 Ga 2.78
Ga 0.2500 0.2500 0.2500 x8  4 F 2.78, 4 Ta 2.78
F 0.0000 0.0000 0.5000 x4  8 Ga 2.78

(B)
This record from Alexandria via LeMat-Bulk describes a geometry-optimized TaGa2F structure. The functional is PBE.

Cell lengths 6.4353, 6.4353, 6.3954 Å; angles 90.00, 90.00, 90.00 degrees
Closest atoms and distances in Å follow each position.
Space group I-42d (No. 122)
One atom of each set of equivalent atoms:
Ta 0.0000 0.0000 0.0000 x4  4 Ga 2.66
Ga 0.1959 0.2500 0.6250 x8  2 F 2.19
F 0.0000 0.0000 0.5000 x4  4 Ga 2.19

The most stable arrangement is (B), and the next structure is 18.6 kJ/mol of atoms less stable.

(A)
This record from Alexandria via LeMat-Bulk describes a geometry-optimized TbGa2F8 structure. The functional is PBE.

Cell lengths 6.7338, 6.7338, 4.0542 Å; angles 90.00, 90.00, 120.00 degrees
Closest atoms and distances in Å follow each position.
Space group P-3 (No. 147)
One atom of each set of equivalent atoms:
Tb 0.0000 0.0000 0.0000 x1  6 F 2.22
Ga 0.3333 0.6667 0.7372 x2  5 F 1.93-2.05
F 0.1667 0.3351 0.7391 x6  1 Ga 1.93
F 0.3333 0.6667 0.2416 x2  2 Ga 2.01-2.05

(B)
This record from Alexandria via LeMat-Bulk describes a geometry-optimized TbGa2F8 structure. The functional is PBE.

Cell lengths 8.7572, 7.2650, 5.2933 Å; angles 90.00, 97.66, 90.00 degrees
Closest atoms and distances in Å follow each position.
Space group C2/m (No. 12)
One atom of each set of equivalent atoms:
Tb 0.0000 0.0000 0.0000 x2  6 F 2.21
Ga 0.0791 0.5000 0.2595 x4  5 F 1.92-2.02
F 0.0794 0.2336 0.2512 x8  1 Ga 1.94
F 0.1317 0.5000 0.6243 x4  2 Ga 1.92-2.02
F 0.2139 0.0000 0.8213 x4  1 Ga 1.92

The most stable arrangement is (B), and the next structure is 6.7 kJ/mol of atoms less stable.

(A)
This record from Alexandria via LeMat-Bulk describes a geometry-optimized Ga2TcF structure. The functional is PBE.

Cell lengths 6.2606, 6.2606, 6.2606 Å; angles 90.00, 90.00, 90.00 degrees
Closest atoms and distances in Å follow each position.
Space group Fm-3m (No. 225)
One atom of each set of equivalent atoms:
Ga 0.2500 0.2500 0.2500 x8  4 F 2.71, 4 Tc 2.71
Tc 0.0000 0.0000 0.0000 x4  8 Ga 2.71
F 0.0000 0.0000 0.5000 x4  8 Ga 2.71

(B)
This record from Alexandria via LeMat-Bulk describes a geometry-optimized Ga2TcF structure. The functional is PBE.

Cell lengths 6.3461, 6.3461, 6.1041 Å; angles 90.00, 90.00, 90.00 degrees
Closest atoms and distances in Å follow each position.
Space group I-42d (No. 122)
One atom of each set of equivalent atoms:
Ga 0.2125 0.2500 0.1250 x8  2 F 2.22
Tc 0.0000 0.0000 0.5000 x4  4 Ga 2.54
F 0.0000 0.0000 0.0000 x4  4 Ga 2.22

The most stable arrangement is (B), and the next structure is 20.8 kJ/mol of atoms less stable.

(A)
This record from Alexandria via LeMat-Bulk describes a geometry-optimized GaTc2F structure. The functional is PBE.

Cell lengths 6.8901, 6.8901, 4.8068 Å; angles 90.00, 90.00, 90.00 degrees
Closest atoms and distances in Å follow each position.
Space group I-42d (No. 122)
One atom of each set of equivalent atoms:
Ga 0.0000 0.0000 0.0000 x4  2 F 2.40
Tc 0.1890 0.2500 0.6250 x8  2 F 2.24
F 0.0000 0.0000 0.5000 x4  4 Tc 2.24, 2 Ga 2.40

(B)
This record from Alexandria via LeMat-Bulk describes a geometry-optimized GaTc2F structure. The functional is PBE.

Cell lengths 6.0464, 6.0464, 6.0464 Å; angles 90.00, 90.00, 90.00 degrees
Closest atoms and distances in Å follow each position.
Space group Fm-3m (No. 225)
One atom of each set of equivalent atoms:
Ga 0.0000 0.0000 0.0000 x4  8 Tc 2.62
Tc 0.2500 0.2500 0.2500 x8  4 F 2.62, 4 Ga 2.62
F 0.0000 0.0000 0.5000 x4  8 Tc 2.62

The most stable arrangement is (A), and the next structure is 3.3 kJ/mol of atoms less stable.

(A)
This record from Alexandria via LeMat-Bulk describes a geometry-optimized GaTcF2 structure. The functional is PBE.

Cell lengths 2.7330, 2.7330, 24.4294 Å; angles 90.00, 90.00, 120.00 degrees
Closest atoms and distances in Å follow each position.
Space group R-3m (No. 166, hexagonal axes)
One atom of each set of equivalent atoms:
Ga 0.0000 0.0000 0.0000 x3  6 F 2.62, 6 Ga 2.73
Tc 0.0000 0.0000 0.5000 x3  2 F 1.98
F 0.0000 0.0000 0.4190 x6  1 Tc 1.98

(B)
This record from Alexandria via LeMat-Bulk describes a geometry-optimized GaTcF2 structure. The functional is PBE.

Cell lengths 2.6782, 2.6782, 24.0839 Å; angles 90.00, 90.00, 120.00 degrees
Closest atoms and distances in Å follow each position.
Space group R-3m (No. 166, hexagonal axes)
One atom of each set of equivalent atoms:
Ga 0.0000 0.0000 0.0000 x3  2 F 2.07
Tc 0.0000 0.0000 0.5000 x3  6 F 2.49, 6 Tc 2.68
F 0.0000 0.0000 0.0858 x6  1 Ga 2.07

(C)
This record from Alexandria via LeMat-Bulk describes a geometry-optimized GaTcF2 structure. The functional is PBE.

Cell lengths 5.8834, 5.8834, 5.8834 Å; angles 90.00, 90.00, 90.00 degrees
Closest atoms and distances in Å follow each position.
Space group Fm-3m (No. 225)
One atom of each set of equivalent atoms:
Ga 0.0000 0.0000 0.0000 x4  8 F 2.55
Tc 0.0000 0.0000 0.5000 x4  8 F 2.55
F 0.2500 0.2500 0.2500 x8  4 Tc 2.55, 4 Ga 2.55

The most stable arrangement is (A), and the next structure is 27.9 kJ/mol of atoms less stable.